No. 1
Below is a relaxed structure of Ca3GaHg3, with properties calculated at the PBE-GGA level.

Lattice parameters (Å, degrees): 4.1881 6.2159 15.7086 83.98 82.34 70.31
With the nearest neighbours (Å) after each atom.
Positions (direct):
Hg 0.0115 0.2087 0.7682  1 Ga 2.86, 1 Hg 3.12
Hg 0.9885 0.7913 0.2318  1 Ga 2.86, 1 Hg 3.12
Ca 0.6096 0.7018 0.0790  7 Hg 3.20-3.38
Ca 0.5092 0.3657 0.6159  6 Hg 3.25-3.31, 3 Ga 3.26-3.35
Ca 0.4908 0.6343 0.3841  6 Hg 3.25-3.31, 3 Ga 3.26-3.35
Ca 0.3904 0.2982 0.9210  7 Hg 3.20-3.38
Ga 0.7798 0.0623 0.3781  4 Hg 2.74-2.91
Hg 0.8838 0.1556 0.0768  2 Hg 3.10-3.12, 7 Ca 3.20-3.38
Ca 0.7368 0.7585 0.7679  2 Ga 3.22, 5 Hg 3.22-3.37
Ca 0.2632 0.2415 0.2321  2 Ga 3.22, 5 Hg 3.22-3.37
Hg 0.1466 0.2408 0.4660  3 Ga 2.74-2.91
Hg 0.1162 0.8444 0.9232  2 Hg 3.10-3.12, 7 Ca 3.20-3.38
Hg 0.8534 0.7592 0.5340  3 Ga 2.74-2.91
Ga 0.2202 0.9377 0.6219  4 Hg 2.74-2.91

Output
Space-group type = C2/m (12)
Raw total energy = -1.89 eV/atom

---

No. 2
Below is a relaxed structure of Ca2GaHg2, with properties calculated at the PBE-GGA level.

Lattice parameters (Å, degrees): 4.1354 4.1354 9.0602 76.81 76.81 90.00
With the nearest neighbours (Å) after each atom.
Positions (direct):
Hg 0.2500 0.7500 0.5000  4 Hg 2.92
Ca 0.5995 0.5995 0.8011  4 Hg 3.31, 4 Ga 3.39, 1 Ca 3.41
Ga 0.0000 0.0000 0.0000  8 Ca 3.39
Hg 0.7500 0.2500 0.5000  4 Hg 2.92
Ca 0.4005 0.4005 0.1989  4 Hg 3.31, 4 Ga 3.39, 1 Ca 3.41

Output
Space-group type = I4/mmm (139)
Raw total energy = -1.76 eV/atom
Energy above the lowest structure with this stoichiometry = 234 meV/atom

---

What did the first record say?
Below is a relaxed structure of Ca3GaHg3, with properties calculated at the PBE-GGA level.

Lattice parameters (Å, degrees): 4.1881 6.2159 15.7086 83.98 82.34 70.31
With the nearest neighbours (Å) after each atom.
Positions (direct):
Hg 0.0115 0.2087 0.7682  1 Ga 2.86, 1 Hg 3.12
Hg 0.9885 0.7913 0.2318  1 Ga 2.86, 1 Hg 3.12
Ca 0.6096 0.7018 0.0790  7 Hg 3.20-3.38
Ca 0.5092 0.3657 0.6159  6 Hg 3.25-3.31, 3 Ga 3.26-3.35
Ca 0.4908 0.6343 0.3841  6 Hg 3.25-3.31, 3 Ga 3.26-3.35
Ca 0.3904 0.2982 0.9210  7 Hg 3.20-3.38
Ga 0.7798 0.0623 0.3781  4 Hg 2.74-2.91
Hg 0.8838 0.1556 0.0768  2 Hg 3.10-3.12, 7 Ca 3.20-3.38
Ca 0.7368 0.7585 0.7679  2 Ga 3.22, 5 Hg 3.22-3.37
Ca 0.2632 0.2415 0.2321  2 Ga 3.22, 5 Hg 3.22-3.37
Hg 0.1466 0.2408 0.4660  3 Ga 2.74-2.91
Hg 0.1162 0.8444 0.9232  2 Hg 3.10-3.12, 7 Ca 3.20-3.38
Hg 0.8534 0.7592 0.5340  3 Ga 2.74-2.91
Ga 0.2202 0.9377 0.6219  4 Hg 2.74-2.91

Output
Space-group type = C2/m (12)
Raw total energy = -1.89 eV/atom

---

> Look up the raw total energy of the second one.

-1.76 eV/atom

---

> Among the records above, which one has the highest raw total energy?

Ca2GaHg2

---

> raw total energy of number 1 (Ca3GaHg3)?

-1.89 eV/atom